Entry from the Alexandria database: an optimized crystal structure of Ce3U2Tc4 (GGA-PBE).

Results
Its formation energy is -76 meV/atom.

abc: 5.8632 5.8632 8.7712
angles: 100.07 100.07 42.62
Closest atoms and distances in Å follow each position.
Sites, in units of the cell vectors:
Ce: 0.0000 0.0000 0.0000  8 Tc 3.13-3.42
Ce: 0.3702 0.3702 0.6103  6 Tc 2.89-3.22
Ce: 0.6298 0.6298 0.3897  6 Tc 2.89-3.22
U: 0.3288 0.3288 0.2205  5 Tc 2.53-2.71
U: 0.6712 0.6712 0.7795  5 Tc 2.53-2.71
Tc: 0.0831 0.0831 0.6482  2 U 2.53
Tc: 0.2896 0.2896 0.9058  3 U 2.63-2.71, 3 Tc 2.88-2.93, 1 Ce 2.89
Tc: 0.7104 0.7104 0.0942  3 U 2.63-2.71, 3 Tc 2.88-2.93, 1 Ce 2.89
Tc: 0.9169 0.9169 0.3518  2 U 2.53